# 1
Computed, not measured: a relaxed structure of AlHg2H2 at the PBEsol level of DFT.

**Theoretical density**: 10.13 g/cm3
**Crystal system**: tetragonal
**Offset from the most stable computed form**: 0.09 eV/f.u.
**Calculated total energy**: -1.9037 eV per atom

```
data_AlHg2H2
_cell_length_a 3.281
_cell_length_b 3.281
_cell_length_c 13.096
_cell_angle_alpha 90.00
_cell_angle_beta 90.00
_cell_angle_gamma 90.00
_symmetry_space_group_name_H-M 'I 4/m m m'
_symmetry_Int_Tables_number 139
_symmetry_space_group_name_Hall '-I 4 2'
loop_
_atom_site_label
_atom_site_type_symbol
_atom_site_fract_x
_atom_site_fract_y
_atom_site_fract_z
_atom_site_occupancy
Al1 Al 0.000 0.000 0.000 1
Hg1 Hg 0.000 0.000 0.360 1
H1 H 0.000 0.500 0.250 1
```

# 2
Computed, not measured: a relaxed structure of AlHg2H2 at the PBEsol level of DFT.

**Theoretical density**: 8.01 g/cm3
**Crystal system**: tetragonal
**Offset from the most stable computed form**: 0.00 eV/f.u.
**Calculated total energy**: -1.9226 eV per atom

```
data_AlHg2H2
_cell_length_a 6.909
_cell_length_b 6.909
_cell_length_c 3.737
_cell_angle_alpha 90.00
_cell_angle_beta 90.00
_cell_angle_gamma 90.00
_symmetry_space_group_name_H-M 'P 4/m b m'
_symmetry_Int_Tables_number 127
_symmetry_space_group_name_Hall '-P 4 2ab'
loop_
_atom_site_label
_atom_site_type_symbol
_atom_site_fract_x
_atom_site_fract_y
_atom_site_fract_z
_atom_site_occupancy
Al1 Al 0.000 0.000 0.000 1
Hg1 Hg 0.154 0.346 0.000 1
H1 H 0.154 0.346 0.500 1
```